(1)
Density functional theory data (PBE) for a geometry-optimized BaNaLaCl6 structure.

Results
* formation energy from raw total energies: -2292.1 meV per atom
* raw total energy: -4.431 eV per atom
* DOS at the Fermi energy: 0.0 states/eV/f.u.

a = 7.2838 Å, b = 7.2838 Å, c = 13.3309 Å
α = 90.00°, β = 90.00°, γ = 120.00°
Last column: nearest neighbours and their distance in Å.
Fractional coordinates of all 18 atoms:
Ba (0.0000, 0.0000, 0.0000)  6 Cl 3.12
Ba (0.0000, 0.0000, 0.5000)  6 Cl 3.12
Na (0.3333, 0.6667, 0.2500)  6 Cl 2.85
Na (0.6667, 0.3333, 0.7500)  6 Cl 2.85
La (0.6667, 0.3333, 0.2500)  6 Cl 2.80
La (0.3333, 0.6667, 0.7500)  6 Cl 2.80
Cl (0.6505, 0.6450, 0.1335)  1 La 2.80, 1 Na 2.85, 1 Ba 3.12
Cl (0.9945, 0.3495, 0.1335)  1 La 2.80, 1 Na 2.85, 1 Ba 3.12
Cl (0.3495, 0.9945, 0.6335)  1 La 2.80, 1 Na 2.85, 1 Ba 3.12
Cl (0.0055, 0.6505, 0.8665)  1 La 2.80, 1 Na 2.85, 1 Ba 3.12
Cl (0.3550, 0.3495, 0.3665)  1 La 2.80, 1 Na 2.85, 1 Ba 3.12
Cl (0.9945, 0.6450, 0.3665)  1 La 2.80, 1 Na 2.85, 1 Ba 3.12
Cl (0.6450, 0.9945, 0.8665)  1 La 2.80, 1 Na 2.85, 1 Ba 3.12
Cl (0.6505, 0.0055, 0.3665)  1 La 2.80, 1 Na 2.85, 1 Ba 3.12
Cl (0.0055, 0.3550, 0.6335)  1 La 2.80, 1 Na 2.85, 1 Ba 3.12
Cl (0.3550, 0.0055, 0.1335)  1 La 2.80, 1 Na 2.85, 1 Ba 3.12
Cl (0.6450, 0.6505, 0.6335)  1 La 2.80, 1 Na 2.85, 1 Ba 3.12
Cl (0.3495, 0.3550, 0.8665)  1 La 2.80, 1 Na 2.85, 1 Ba 3.12

(2)
Density functional theory data (PBE) for a geometry-optimized BaLaClO2 structure.

Results
* formation energy from raw total energies: -2978.9 meV per atom
* raw total energy: -6.702 eV per atom
* DOS at the Fermi energy: 0.0 states/eV/f.u.

a = 4.3752 Å, b = 4.3748 Å, c = 6.9040 Å
α = 89.99°, β = 90.00°, γ = 90.00°
Last column: nearest neighbours and their distance in Å.
Fractional coordinates of all 5 atoms:
Ba (0.5000, 0.5000, 0.6948)  4 O 2.64
La (0.0000, 0.0000, 0.0271)  4 O 2.33
Cl (0.0000, 0.0001, 0.4599)  1 La 2.99
O (0.0000, 0.5000, 0.9091)  2 La 2.33
O (0.5000, 0.0000, 0.9091)  2 La 2.33

(3)
Density functional theory data (PBE) for a geometry-optimized BaLaP2Cl structure.

Results
* formation energy from raw total energies: -974.2 meV per atom
* raw total energy: -4.877 eV per atom
* DOS at the Fermi energy: 4.0 states/eV/f.u.

a = 5.5046 Å, b = 5.5046 Å, c = 5.5513 Å
α = 90.00°, β = 90.00°, γ = 90.00°
Last column: nearest neighbours and their distance in Å.
Fractional coordinates of all 5 atoms:
P (0.0000, 0.5000, 0.0000)  2 La 2.75
P (0.5000, 0.0000, 0.0000)  2 La 2.75
Cl (0.0000, 0.0000, 0.5000)  2 La 2.78
Ba (0.5000, 0.5000, 0.5000)  4 Cl 3.89, 8 P 3.91
La (0.0000, 0.0000, 0.0000)  4 P 2.75, 2 Cl 2.78

(4)
Density functional theory data (PBE) for a geometry-optimized BaLaPCl2 structure.

Results
* formation energy from raw total energies: -1644.1 meV per atom
* raw total energy: -4.835 eV per atom
* DOS at the Fermi energy: 0.4 states/eV/f.u.

a = 5.4898 Å, b = 5.4898 Å, c = 5.7840 Å
α = 90.00°, β = 90.00°, γ = 90.00°
Last column: nearest neighbours and their distance in Å.
Fractional coordinates of all 5 atoms:
P (0.0000, 0.0000, 0.5000)  2 La 2.89
Cl (0.0000, 0.5000, 0.0000)  2 La 2.74
Cl (0.5000, 0.0000, 0.0000)  2 La 2.74
Ba (0.5000, 0.5000, 0.5000)  4 P 3.88, 8 Cl 3.99
La (0.0000, 0.0000, 0.0000)  4 Cl 2.74, 2 P 2.89

(5)
Density functional theory data (PBE) for a geometry-optimized BaLaP2Cl structure.

Results
* formation energy from raw total energies: -205.9 meV per atom
* raw total energy: -4.109 eV per atom
* DOS at the Fermi energy: 5.5 states/eV/f.u.

a = 5.5462 Å, b = 5.5462 Å, c = 5.4897 Å
α = 90.00°, β = 90.00°, γ = 90.00°
Last column: nearest neighbours and their distance in Å.
Fractional coordinates of all 5 atoms:
P (0.0000, 0.5000, 0.0000)  2 Ba 2.77
P (0.5000, 0.0000, 0.0000)  2 Ba 2.77
Cl (0.0000, 0.0000, 0.5000)  2 Ba 2.74
Ba (0.0000, 0.0000, 0.0000)  2 Cl 2.74, 4 P 2.77
La (0.5000, 0.5000, 0.5000)  8 P 3.90, 4 Cl 3.92

(6)
Density functional theory data (PBE) for a geometry-optimized BaLaPCl structure.

Results
* formation energy from raw total energies: -1622.7 meV per atom
* raw total energy: -5.149 eV per atom
* DOS at the Fermi energy: 2.4 states/eV/f.u.

a = 4.3124 Å, b = 4.3125 Å, c = 8.1854 Å
α = 90.01°, β = 105.27°, γ = 120.00°
Last column: nearest neighbours and their distance in Å.
Fractional coordinates of all 4 atoms:
Ba (0.4924, 0.1440, 0.6518)  3 P 3.13, 3 Cl 3.48
La (0.1133, 0.9546, 0.0832)  3 P 2.89, 3 Cl 3.19
P (0.3211, 0.5585, 0.8950)  3 La 2.89, 3 Ba 3.13
Cl (0.9511, 0.3736, 0.3397)  3 La 3.19, 3 Ba 3.48